Below is an optimized crystal structure of AgMoAu2, with properties calculated at the PBE-GGA level.

The formation energy comes out at 0.39 eV/atom. For the relative energy among the computed polymorphs, the calculation gives 0.263 eV/atom. The electronic total energy comes out at -4.67 eV/atom. As for the symmetry: I4/mmm (139).

a = 4.8017 Å, b = 4.8017 Å, c = 4.8017 Å
α = 126.29°, β = 126.29°, γ = 79.41°
Closest atoms and distances in Å follow each position.
Element x y z (fractional)
Ag (0.0000, 0.0000, 0.0000)  8 Au 2.85, 4 Mo 3.07
Mo (0.5000, 0.5000, 0.0000)  8 Au 2.85, 4 Ag 3.07
Au (0.2500, 0.7500, 0.5000)  4 Mo 2.85, 4 Ag 2.85, 4 Au 3.07
Au (0.7500, 0.2500, 0.5000)  4 Mo 2.85, 4 Ag 2.85, 4 Au 3.07